Record 1
FeIN2F | GGA+U | optimized geometry

## Properties
Uncorrected energy   -3.84 eV per atom
SG   P4/mmm (123)

a = 4.159 Å, b = 4.159 Å, c = 4.344 Å
α = 90.00°, β = 90.00°, γ = 90.00°
Atoms (fractional coordinates):
I: 0.000 0.000 0.000
N: 0.000 0.500 0.000
N: 0.500 0.000 0.000
Fe: 0.500 0.500 0.500
F: 0.000 0.000 0.500



Record 2
NbFe2IF | GGA+U | optimized geometry

## Properties
Uncorrected energy   -3.41 eV per atom
SG   P4/mmm (123)

a = 5.217 Å, b = 5.101 Å, c = 5.217 Å
α = 90.00°, β = 90.00°, γ = 90.00°
Atoms (fractional coordinates):
I: 0.000 0.000 0.000
Nb: 0.000 0.500 0.000
Fe: 0.000 0.000 0.500
Fe: 0.500 0.000 0.000
F: 0.500 0.500 0.500



Record 3
FeI2OF | GGA+U | optimized geometry

## Properties
Uncorrected energy   -3.35 eV per atom
SG   P4/mmm (123)

a = 5.816 Å, b = 5.816 Å, c = 3.567 Å
α = 90.00°, β = 90.00°, γ = 90.00°
Atoms (fractional coordinates):
I: 0.000 0.500 0.000
I: 0.500 0.000 0.000
Fe: 0.000 0.000 0.000
O: 0.000 0.000 0.500
F: 0.500 0.500 0.500